Density functional theory data (PBE) for a geometry-optimized BaTlGeIr2 structure.

DFT formation energy = 1997 meV/atom

Unit cell a=5.258 b=5.754 c=5.258 alpha=90.00 beta=90.00 gamma=90.00
Element x y z (fractional)
Ge 0.000 0.500 0.000
Ir 0.500 0.000 0.000
Ir 0.000 0.000 0.500
Tl 0.500 0.500 0.500
Ba 0.000 0.000 0.000

=====

Density functional theory data (PBE) for a geometry-optimized Ti12BeGe6 structure.

DFT formation energy = -330 meV/atom

Unit cell a=6.716 b=6.716 c=6.716 alpha=90.31 beta=90.31 gamma=90.31
Element x y z (fractional)
Ge 0.263 0.724 0.876
Ge 0.724 0.876 0.263
Ge 0.737 0.276 0.124
Ge 0.276 0.124 0.737
Ge 0.876 0.263 0.724
Ge 0.124 0.737 0.276
Ti 0.138 0.371 0.052
Ti 0.862 0.629 0.948
Ti 0.371 0.052 0.138
Ti 0.948 0.862 0.629
Ti 0.519 0.431 0.807
Ti 0.052 0.138 0.371
Ti 0.569 0.193 0.481
Ti 0.629 0.948 0.862
Ti 0.193 0.481 0.569
Ti 0.431 0.807 0.519
Ti 0.807 0.519 0.431
Ti 0.481 0.569 0.193
Be 0.000 0.000 0.000

=====

Density functional theory data (PBE) for a geometry-optimized KLa2GeO5 structure.

total DFT energy (no corrections) = -6.9063 eV per atom

Unit cell a=7.017 b=7.017 c=7.696 alpha=117.12 beta=117.12 gamma=90.00
Site moments in Bohr magnetons follow the coordinates.
Element x y z (fractional)
O 0.506 0.732 0.738  0.11
O 0.500 0.500 0.000  0.00
O 0.006 0.506 0.738  0.11
O 0.268 0.768 0.262  0.11
O 0.732 0.232 0.738  0.11
O 0.232 0.006 0.738  0.11
O 0.000 0.000 0.000  0.00
O 0.768 0.994 0.262  0.11
O 0.494 0.268 0.262  0.11
O 0.994 0.494 0.262  0.11
La 0.182 0.318 0.000  0.06
La 0.818 0.682 0.000  0.06
La 0.682 0.182 0.000  0.06
La 0.318 0.818 0.000  0.06
K 0.250 0.250 0.500  0.00
K 0.750 0.750 0.500  0.00
Ge 0.250 0.750 0.500  0.20
Ge 0.750 0.250 0.500  0.20

=====

Density functional theory data (PBE) for a geometry-optimized TbDyTl6 structure.

DFT formation energy = -243 meV/atom

Unit cell a=4.769 b=4.769 c=9.541 alpha=90.00 beta=90.00 gamma=90.00
Element x y z (fractional)
Tb 0.000 0.000 0.000
Tl 0.500 0.500 0.000
Tl 0.500 0.500 0.500
Tl 0.000 0.500 0.250
Tl 0.000 0.500 0.750
Tl 0.500 0.000 0.750
Tl 0.500 0.000 0.250
Dy 0.000 0.000 0.500

=====

Density functional theory data (PBE) for a geometry-optimized CaPmNd structure.

polymorph energy (0 for the lowest one) = 0.010 eV per atom
DFT formation energy = 38 meV/atom

Unit cell a=3.712 b=3.712 c=9.249 alpha=90.00 beta=90.00 gamma=120.00
Element x y z (fractional)
Nd 0.333 0.667 0.654
Pm 0.667 0.333 0.345
Ca 0.000 0.000 0.001

=====

Density functional theory data (PBE) for a geometry-optimized CrAs2Au structure.

polymorph energy (0 for the lowest one) = 0.286 eV per atom
DFT formation energy = 381 meV/atom

Unit cell a=4.687 b=4.687 c=4.687 alpha=60.00 beta=60.00 gamma=60.00
Site moments in Bohr magnetons follow the coordinates.
Element x y z (fractional)
Cr 0.750 0.750 0.750  3.59
As 0.250 0.250 0.250  0.03
As 0.000 0.000 0.000  -0.05
Au 0.500 0.500 0.500  0.06